Run one
First-principles (GGA-PBE) data for crystalline LiCoB3 at its relaxed geometry, as listed in the Alexandria database.

Structure (CIF):
```
data_LiCoB3
_cell_length_a 3.742
_cell_length_b 3.742
_cell_length_c 3.742
_cell_angle_alpha 90.00
_cell_angle_beta 90.00
_cell_angle_gamma 90.00
_symmetry_space_group_name_H-M 'P m -3 m'
_symmetry_Int_Tables_number 221
_symmetry_space_group_name_Hall '-P 4 2 3'
loop_
_atom_site_label
_atom_site_type_symbol
_atom_site_fract_x
_atom_site_fract_y
_atom_site_fract_z
_atom_site_occupancy
Li1 Li 0.000 0.000 0.000 1
Co1 Co 0.500 0.500 0.500 1
B1 B 0.000 0.500 0.500 1
```

Output
The density of states at the Fermi level comes out at 0.45 states/eV/atom. As for the magnetization: 0.000 μB/f.u.

Run two
First-principles (GGA-PBE) data for crystalline LiCoB3 at its relaxed geometry, as listed in the Alexandria database.

Structure (CIF):
```
data_LiCoB3
_cell_length_a 3.452
_cell_length_b 3.452
_cell_length_c 3.452
_cell_angle_alpha 90.00
_cell_angle_beta 90.00
_cell_angle_gamma 90.00
_symmetry_space_group_name_H-M 'P m -3 m'
_symmetry_Int_Tables_number 221
_symmetry_space_group_name_Hall '-P 4 2 3'
loop_
_atom_site_label
_atom_site_type_symbol
_atom_site_fract_x
_atom_site_fract_y
_atom_site_fract_z
_atom_site_occupancy
Li1 Li 0.000 0.000 0.000 1
Co1 Co 0.500 0.500 0.500 1
B1 B 0.000 0.000 0.500 1
```

Output
The density of states at the Fermi level comes out at 0.23 states/eV/atom. As for the magnetization: 0.942 μB/f.u.

Each structure's energy above the most stable one, in meV per atom: run one 0; run two 1292.

Run one
First-principles (GGA-PBE) data for crystalline MgCo3B at its relaxed geometry, as listed in the Alexandria database.

Structure (CIF):
```
data_MgCo3B
_cell_length_a 3.840
_cell_length_b 3.840
_cell_length_c 3.840
_cell_angle_alpha 90.00
_cell_angle_beta 90.00
_cell_angle_gamma 90.00
_symmetry_space_group_name_H-M 'P m -3 m'
_symmetry_Int_Tables_number 221
_symmetry_space_group_name_Hall '-P 4 2 3'
loop_
_atom_site_label
_atom_site_type_symbol
_atom_site_fract_x
_atom_site_fract_y
_atom_site_fract_z
_atom_site_occupancy
Mg1 Mg 0.000 0.000 0.000 1
Co1 Co 0.000 0.500 0.500 1
B1 B 0.500 0.500 0.500 1
```

Output
The density of states at the Fermi level comes out at 1.70 states/eV/atom. As for the magnetization: 2.013 μB/f.u.

Run two
First-principles (GGA-PBE) data for crystalline MgCo3B at its relaxed geometry, as listed in the Alexandria database.

Structure (CIF):
```
data_MgCo3B
_cell_length_a 4.275
_cell_length_b 4.275
_cell_length_c 4.275
_cell_angle_alpha 90.00
_cell_angle_beta 90.00
_cell_angle_gamma 90.00
_symmetry_space_group_name_H-M 'P m -3 m'
_symmetry_Int_Tables_number 221
_symmetry_space_group_name_Hall '-P 4 2 3'
loop_
_atom_site_label
_atom_site_type_symbol
_atom_site_fract_x
_atom_site_fract_y
_atom_site_fract_z
_atom_site_occupancy
Mg1 Mg 0.000 0.000 0.000 1
Co1 Co 0.000 0.000 0.500 1
B1 B 0.500 0.500 0.500 1
```

Output
The density of states at the Fermi level comes out at 0.90 states/eV/atom. As for the magnetization: 4.467 μB/f.u.

Each structure's energy above the most stable one, in meV per atom: run one 0; run two 2329.